Density functional theory data (PBE) for a relaxed structure of BaInBr2.

POSCAR file:
```
BaInBr2
1.0
7.6346 0.0207 0.0130
5.9315 4.8068 0.0130
5.9315 2.1107 4.3186
Br Ba In
2 1 1
direct
0.1754 0.1754 0.1754
0.0045 0.0045 0.0045
0.7510 0.7510 0.7510
0.5692 0.5692 0.5692
```

For the total magnetic moment, the calculation gives 0.22 μB per atom. The value obtained for the volume is 157.5 Å³ per cell. The value obtained for the total energy is -3.144 eV/atom. The value obtained for the uncorrected formation energy is -110 kJ/mol of atoms. Its crystal system is trigonal. For the relative energy among the computed polymorphs, the calculation gives 108 meV per atom.